# RbBaH2 (PBE-GGA, relaxed)
data_RbBaH2
_chemical_formula_sum 'Rb2 Ba2 H4'
_space_group_name_H-M_alt 'P 1'
_space_group_IT_number 1
_cell_length_a 4.2329
_cell_length_b 6.9105
_cell_length_c 9.2156
_cell_angle_alpha 88.80
_cell_angle_beta 76.82
_cell_angle_gamma 90.00
loop_
_space_group_symop_operation_xyz
'x,y,z'
loop_
_atom_site_label
_atom_site_type_symbol
_atom_site_fract_x
_atom_site_fract_y
_atom_site_fract_z
Rb1 Rb 0.0000 0.0000 0.0000
Rb2 Rb 0.3500 0.4921 0.2958
Ba1 Ba 0.1255 0.4704 0.7405
Ba2 Ba 0.7145 0.9843 0.5621
H1 H 0.1412 0.8468 0.7096
H2 H 0.2287 0.2151 0.5332
H3 H 0.5968 0.2224 0.7987
H4 H 0.7131 0.5843 0.5644
# **Relative energy among the computed polymorphs**: 0 meV per atom
# **M_tot**: 0.0 μB per formula unit
# **Uncorrected energy**: -2.668 eV per atom
# **D(E_F)**: 2.261 states/eV/cell



# MgSi2Os (PBE-GGA, relaxed)
data_MgSi2Os
_chemical_formula_sum 'Mg2 Si4 Os2'
_space_group_name_H-M_alt 'C 1 2/m 1'
_space_group_IT_number 12
_cell_length_a 5.3074
_cell_length_b 7.2316
_cell_length_c 2.9815
_cell_angle_alpha 90.00
_cell_angle_beta 90.25
_cell_angle_gamma 90.00
loop_
_space_group_symop_operation_xyz
'x,y,z'
'-x,-y,-z'
'-x,y,-z'
'x,-y,z'
'x+1/2,y+1/2,z'
'-x+1/2,-y+1/2,-z'
'-x+1/2,y+1/2,-z'
'x+1/2,-y+1/2,z'
loop_
_atom_site_label
_atom_site_type_symbol
_atom_site_fract_x
_atom_site_fract_y
_atom_site_fract_z
Mg1 Mg 0.0000 0.0000 0.0000
Si1 Si 0.2500 0.2500 0.5000
Os1 Os 0.0000 0.5000 0.0000
# **Energy relative to the elements, uncorrected**: 143 meV/atom
# **M_tot**: 0.0 μB per formula unit
# **Uncorrected energy**: -5.775 eV per atom
# **D(E_F)**: 3.345 states/eV/cell



# KRbB2Cl8 (PBE-GGA, relaxed)
data_KRbB2Cl8
_chemical_formula_sum 'K1 Rb1 B2 Cl8'
_space_group_name_H-M_alt 'P -3'
_space_group_IT_number 147
_cell_length_a 6.2930
_cell_length_b 6.2930
_cell_length_c 10.3334
_cell_angle_alpha 90.00
_cell_angle_beta 90.00
_cell_angle_gamma 120.00
loop_
_space_group_symop_operation_xyz
'x,y,z'
'-x,-y,-z'
'-y,x-y,z'
'y,-x+y,-z'
'-x+y,-x,z'
'x-y,x,-z'
loop_
_atom_site_label
_atom_site_type_symbol
_atom_site_fract_x
_atom_site_fract_y
_atom_site_fract_z
K1 K 0.0000 0.0000 0.0000
Rb1 Rb 0.0000 0.0000 0.5000
B1 B 0.3333 0.6667 0.2691
Cl1 Cl 0.0428 0.3972 0.2109
Cl2 Cl 0.3333 0.6667 0.4496
# **Energy relative to the elements, uncorrected**: -1328 meV/atom
# **M_tot**: 0.0 μB per formula unit
# **Uncorrected energy**: -3.844 eV per atom
# **D(E_F)**: 0.000 states/eV/cell



# Cs2NiBBr6 (PBE-GGA, relaxed)
data_Cs2NiBBr6
_chemical_formula_sum 'Cs4 Ni2 B2 Br12'
_space_group_name_H-M_alt 'I 4/m m m'
_space_group_IT_number 139
_space_group_name_Hall '-I 4 2'
_cell_length_a 7.3174
_cell_length_b 7.3174
_cell_length_c 11.8419
_cell_angle_alpha 90.00
_cell_angle_beta 90.00
_cell_angle_gamma 90.00
loop_
_atom_site_label
_atom_site_type_symbol
_atom_site_fract_x
_atom_site_fract_y
_atom_site_fract_z
Cs1 Cs 0.0000 0.5000 0.2500
Ni1 Ni 0.0000 0.0000 0.0000
B1 B 0.0000 0.0000 0.5000
Br1 Br 0.0000 0.0000 0.1972
Br2 Br 0.2146 0.2146 0.5000
# **Energy relative to the elements, uncorrected**: -627 meV/atom
# **M_tot**: 1.0 μB per formula unit
# **Uncorrected energy**: -3.047 eV per atom
# **D(E_F)**: 3.418 states/eV/cell



# VNi2Au (PBE-GGA, relaxed)
data_VNi2Au
_chemical_formula_sum 'V1 Ni2 Au1'
_space_group_name_H-M_alt 'P 4/m m m'
_space_group_IT_number 123
_space_group_name_Hall '-P 4 2'
_cell_length_a 3.8539
_cell_length_b 3.8539
_cell_length_c 3.5941
_cell_angle_alpha 90.00
_cell_angle_beta 90.00
_cell_angle_gamma 90.00
loop_
_atom_site_label
_atom_site_type_symbol
_atom_site_fract_x
_atom_site_fract_y
_atom_site_fract_z
V1 V 0.0000 0.0000 0.0000
Ni1 Ni 0.0000 0.5000 0.5000
Au1 Au 0.5000 0.5000 0.0000
# **Relative energy among the computed polymorphs**: 66 meV per atom
# **Calculated formation energy**: 9 meV per atom
# **M_tot**: 2.1 μB per formula unit
# **Uncorrected energy**: -5.980 eV per atom
# **D(E_F)**: 5.895 states/eV/cell



# Sb2PtPb (PBE-GGA, relaxed)
data_Sb2PtPb
_chemical_formula_sum 'Sb4 Pt2 Pb2'
_space_group_name_H-M_alt 'I -4 m 2'
_space_group_IT_number 119
_space_group_name_Hall 'I -4 -2'
_cell_length_a 4.6882
_cell_length_b 4.6882
_cell_length_c 8.8843
_cell_angle_alpha 90.00
_cell_angle_beta 90.00
_cell_angle_gamma 90.00
loop_
_atom_site_label
_atom_site_type_symbol
_atom_site_fract_x
_atom_site_fract_y
_atom_site_fract_z
Sb1 Sb 0.0000 0.0000 0.0000
Sb2 Sb 0.0000 0.5000 0.2500
Pt1 Pt 0.0000 0.0000 0.5000
Pb1 Pb 0.0000 0.5000 0.7500
# **Energy relative to the elements, uncorrected**: 174 meV/atom
# **M_tot**: 0.0 μB per formula unit
# **Uncorrected energy**: -4.324 eV per atom
# **D(E_F)**: 4.705 states/eV/cell



What is the D(E_F) in the first record? 2.261 states/eV/cell



Please write out number 4 again, unchanged.
# Cs2NiBBr6 (PBE-GGA, relaxed)
data_Cs2NiBBr6
_chemical_formula_sum 'Cs4 Ni2 B2 Br12'
_space_group_name_H-M_alt 'I 4/m m m'
_space_group_IT_number 139
_space_group_name_Hall '-I 4 2'
_cell_length_a 7.3174
_cell_length_b 7.3174
_cell_length_c 11.8419
_cell_angle_alpha 90.00
_cell_angle_beta 90.00
_cell_angle_gamma 90.00
loop_
_atom_site_label
_atom_site_type_symbol
_atom_site_fract_x
_atom_site_fract_y
_atom_site_fract_z
Cs1 Cs 0.0000 0.5000 0.2500
Ni1 Ni 0.0000 0.0000 0.0000
B1 B 0.0000 0.0000 0.5000
Br1 Br 0.0000 0.0000 0.1972
Br2 Br 0.2146 0.2146 0.5000
# **Energy relative to the elements, uncorrected**: -627 meV/atom
# **M_tot**: 1.0 μB per formula unit
# **Uncorrected energy**: -3.047 eV per atom
# **D(E_F)**: 3.418 states/eV/cell